# Cs4Si2PdO7, optimized geometry, DFT PBE
data_Cs4Si2PdO7
_chemical_formula_sum 'Cs4 Si2 Pd1 O7'
_cell_length_a 6.467
_cell_length_b 7.439
_cell_length_c 7.440
_cell_angle_alpha 114.44
_cell_angle_beta 108.44
_cell_angle_gamma 100.53
_space_group_name_H-M_alt 'P 1'
_space_group_IT_number 1
loop_
_space_group_symop_operation_xyz
'x,y,z'
loop_
_atom_site_label
_atom_site_type_symbol
_atom_site_fract_x
_atom_site_fract_y
_atom_site_fract_z
Cs1 Cs 0.332 0.729 0.102
Cs2 Cs 0.941 0.226 0.462
Cs3 Cs 0.059 0.774 0.538
Cs4 Cs 0.668 0.271 0.898
O1 O 0.000 0.000 0.000
O2 O 0.803 0.765 0.134
O3 O 0.466 0.228 0.234
O4 O 0.175 0.423 0.259
O5 O 0.825 0.577 0.741
O6 O 0.534 0.772 0.766
O7 O 0.197 0.235 0.866
Pd1 Pd 0.500 0.500 0.500
Si1 Si 0.210 0.220 0.078
Si2 Si 0.790 0.780 0.922
# total energy: -5.89 eV/atom